DFT (PBE-GGA) results for a geometry-optimized Ho2MgGe4Pd3 structure.

Its formation enthalpy at 0 K is -0.71 eV per atom. For the total energy, the calculation gives -51.93 eV per cell. The size of the total moment is 0.00 μB per cell. The density of states at the Fermi level is 0.298 states/eV per atom. The calculation puts the theoretical density at 8.467 g cm⁻³.

The space group is P-4m2 (No. 115) and the conventional cell measures 4.064, 4.064 and 11.446 Å, with angles of 90.00, 90.00 and 90.00 degrees. The inequivalent atoms are Ho at (0.000, 0.500, 0.246), Mg at (0.500, 0.500, 0.000), Ge at (0.000, 0.000, 0.500), Ge at (0.000, 0.500, 0.852), Ge at (0.500, 0.500, 0.500), Pd at (0.000, 0.000, 0.000) and Pd at (0.000, 0.500, 0.638).

DFT (PBE-GGA) results for a geometry-optimized Cd2Ag3Pt structure.

Its formation enthalpy at 0 K is -0.10 eV per atom. For the total energy, the calculation gives -68.15 eV per cell. The size of the total moment is 0.00 μB per cell. The density of states at the Fermi level is 0.232 states/eV per atom. The calculation puts the theoretical density at 11.272 g cm⁻³.

The space group is C2/m (No. 12) and the conventional cell measures 12.449, 4.183 and 9.406 Å, with angles of 90.00, 116.55 and 90.00 degrees. The inequivalent atoms are Cd at (0.031, 0.000, 0.369), Cd at (0.210, 0.500, 0.368), Ag at (0.045, 0.500, 0.877), Ag at (0.126, 0.000, 0.123), Ag at (0.210, 0.000, 0.877) and Pt at (0.126, 0.500, 0.614).

DFT (PBE-GGA) results for a geometry-optimized LiPrNiHg structure.

Its formation enthalpy at 0 K is -0.19 eV per atom. For the total energy, the calculation gives -54.16 eV per cell. The size of the total moment is 0.00 μB per cell. The density of states at the Fermi level is 1.296 states/eV per atom. The calculation puts the theoretical density at 8.651 g cm⁻³.

The space group is F-43m (No. 216) and the conventional cell measures 6.787, 6.787 and 6.787 Å, with angles of 90.00, 90.00 and 90.00 degrees. The inequivalent atoms are Li at (0.000, 0.000, 0.000), Pr at (0.250, 0.250, 0.250), Ni at (0.000, 0.000, 0.500) and Hg at (0.250, 0.250, 0.750).

DFT (PBE-GGA) results for a geometry-optimized Ce4In5Ge structure.

Its formation enthalpy at 0 K is -0.34 eV per atom. For the total energy, the calculation gives -90.98 eV per cell. The size of the total moment is 6.70 μB per cell. The density of states at the Fermi level is 2.820 states/eV per atom. The calculation puts the theoretical density at 7.054 g cm⁻³.

The space group is Immm (No. 71) and the conventional cell measures 4.647, 10.871 and 11.251 Å, with angles of 90.00, 90.00 and 90.00 degrees. The inequivalent atoms are Ce at (0.000, 0.000, 0.237), Ce at (0.000, 0.320, 0.000), In at (0.000, 0.292, 0.317), In at (0.000, 0.500, 0.500) and Ge at (0.000, 0.000, 0.500).

DFT (PBE-GGA) results for a geometry-optimized RbZn2Ge structure.

Its formation enthalpy at 0 K is 0.02 eV per atom. For the total energy, the calculation gives -24.12 eV per cell. The size of the total moment is 0.00 μB per cell. The density of states at the Fermi level is 0.145 states/eV per atom. The calculation puts the theoretical density at 4.216 g cm⁻³.

The space group is R-3m (No. 166, hexagonal axes) and the conventional cell measures 4.5631, 4.5631 and 18.9322 Å, with angles of 90.00, 90.00 and 120.00 degrees. The inequivalent atoms are Rb at (0.0000, 0.0000, 0.0000), Zn at (0.0000, 0.0000, 0.1907) and Ge at (0.0000, 0.0000, 0.5000).

DFT (PBE-GGA) results for a geometry-optimized La14TmTh structure.

Its formation enthalpy at 0 K is 0.01 eV per atom. For the total energy, the calculation gives -80.64 eV per cell. The size of the total moment is 0.00 μB per cell. The density of states at the Fermi level is 1.790 states/eV per atom. The calculation puts the theoretical density at 6.811 g cm⁻³.

The space group is P4/mmm (No. 123) and the conventional cell measures 7.369, 7.369 and 10.531 Å, with angles of 90.00, 90.00 and 90.00 degrees. The inequivalent atoms are La at (0.000, 0.000, 0.000), La at (0.000, 0.500, 0.000), La at (0.000, 0.500, 0.500), La at (0.245, 0.245, 0.255), La at (0.500, 0.500, 0.000), Tm at (0.500, 0.500, 0.500) and Th at (0.000, 0.000, 0.500).

DFT (PBE-GGA) results for a geometry-optimized Dy4Ga2O structure.

For the total energy, the calculation gives -75.16 eV per cell. The value obtained for the energy above the lowest structure with this stoichiometry is 0.005 eV per atom. The size of the total moment is 0.00 μB per cell. Its energy relative to the elements, uncorrected is -112 kJ per mole of atoms. The density of states at the Fermi level is 0.388 states/eV per atom. The calculation puts the theoretical density at 8.241 g cm⁻³.

The space group is I4/mmm (No. 139) and the conventional cell measures 4.550, 4.550 and 15.675 Å, with angles of 90.00, 90.00 and 90.00 degrees. The inequivalent atoms are Dy at (0.000, 0.000, 0.176), Dy at (0.000, 0.500, 0.000), Ga at (0.000, 0.000, 0.365) and O at (0.000, 0.000, 0.000).

DFT (PBE-GGA) results for a geometry-optimized Pu6NiPd5 structure.

Its formation enthalpy at 0 K is -0.33 eV per atom. For the total energy, the calculation gives -243.33 eV per cell. The size of the total moment is 22.70 μB per cell. The density of states at the Fermi level is 4.396 states/eV per atom. The calculation puts the theoretical density at 13.490 g cm⁻³.

The space group is Immm (No. 71) and the conventional cell measures 5.315, 5.964 and 15.960 Å, with angles of 90.00, 90.00 and 90.00 degrees. The inequivalent atoms are Pu at (0.000, 0.246, 0.000), Pu at (0.000, 0.252, 0.338), Ni at (0.000, 0.500, 0.500), Pd at (0.000, 0.000, 0.170), Pd at (0.000, 0.000, 0.500) and Pd at (0.000, 0.500, 0.169).

Question: Number 3 is which compound?
Answer: LiPrNiHg

Question: theoretical density of number 5 (RbZn2Ge)?
Answer: 4.216 g cm⁻³